Record 1
Pm8C4Br | PBE | relaxed

Geometry as POSCAR:
```
Pm8C4Br
1.0
-6.848 3.744 0.661
-6.711 -4.026 -0.310
-4.339 -0.884 6.460
Pm C Br
8 4 1
direct
0.581 0.140 0.140
0.140 0.581 0.140
0.140 0.140 0.581
0.140 0.140 0.140
0.182 0.606 0.606
0.606 0.182 0.606
0.606 0.606 0.182
0.606 0.606 0.606
0.880 0.373 0.373
0.373 0.880 0.373
0.373 0.373 0.880
0.373 0.373 0.373
0.750 0.750 0.750
```

Total magnetic moment (μB per atom): 0.000
SG: No. 216
Formation energy from raw total energies (eV/atom): -0.1799

Record 2
ErAlPb2Se5 | PBE | relaxed

Geometry as POSCAR:
```
ErAlPb2Se5
1.0
-3.589 -0.887 -1.661
-1.961 -0.182 9.276
-3.027 12.963 -0.386
Er Al Pb Se
2 2 4 10
direct
0.802 0.605 0.529
0.198 0.395 0.029
0.557 0.114 0.924
0.443 0.886 0.424
0.883 0.766 0.828
0.138 0.277 0.672
0.117 0.234 0.328
0.862 0.723 0.172
0.349 0.697 0.015
0.684 0.368 0.879
0.492 0.984 0.771
0.299 0.598 0.678
0.962 0.923 0.528
0.651 0.303 0.515
0.316 0.632 0.379
0.508 0.016 0.271
0.701 0.402 0.178
0.038 0.077 0.028
```

Total magnetic moment (μB per atom): 0.000
SG: No. 36
Formation energy from raw total energies (eV/atom): -1.0083

Record 3
Y2CoCl | PBE | relaxed

Geometry as POSCAR:
```
Y2CoCl
1.0
-3.445 0.067 -0.244
-0.151 -3.214 1.256
-0.523 3.261 8.281
Y Co Cl
2 1 1
direct
0.000 0.000 0.957
0.500 0.500 0.282
0.500 0.500 0.810
0.000 0.000 0.452
```

Total magnetic moment (μB per atom): 0.300
SG: No. 99
Formation energy from raw total energies (eV/atom): -0.2545
Energy relative to the lowest polymorph listed for this composition (meV per atom): 571

Record 4
Mn2TlTcNi | PBE | relaxed

Geometry as POSCAR:
```
Mn2TlTcNi
1.0
-2.046 0.957 3.887
-2.351 -4.152 -0.215
3.336 -2.006 2.250
Ni Tl Mn Tc
1 1 2 1
direct
0.000 0.000 0.000
0.000 0.500 0.000
0.000 0.000 0.500
0.500 0.000 0.000
0.500 0.500 0.500
```

Total magnetic moment (μB per atom): 1.264
SG: No. 123
Energy (eV for the cell shown): -31.3

Record 5
ZrS2O8 | PBE | relaxed

Geometry as POSCAR:
```
ZrS2O8
1.0
-4.342 -2.356 0.264
2.069 -5.868 0.141
0.560 -2.465 5.687
Zr S O
1 2 8
direct
0.000 0.000 0.000
0.331 0.188 0.188
0.669 0.812 0.812
0.787 0.053 0.700
0.213 0.300 0.947
0.639 0.140 0.140
0.361 0.860 0.860
0.787 0.700 0.053
0.213 0.947 0.300
0.268 0.326 0.326
0.732 0.674 0.674
```

Total magnetic moment (μB per atom): 0.000
SG: No. 12
Formation energy from raw total energies (eV/atom): -1.7416
Energy relative to the lowest polymorph listed for this composition (meV per atom): 102

Record 6
LiYC | PBE | relaxed

Geometry as POSCAR:
```
LiYC
1.0
-0.792 3.651 0.400
-1.533 -1.957 -2.818
-6.819 -2.042 5.129
Y C Li
2 2 2
direct
0.333 0.667 0.338
0.000 0.000 0.032
0.667 0.333 0.218
0.667 0.333 0.907
0.667 0.333 0.670
0.333 0.667 0.825
```

Total magnetic moment (μB per atom): 0.000
SG: No. 156
Energy relative to the lowest polymorph listed for this composition (meV per atom): 252

Record 7
NbReH2Ir | PBE | relaxed

Geometry as POSCAR:
```
NbReH2Ir
1.0
-3.135 -0.773 -1.613
2.562 -2.066 -3.989
-0.048 -3.218 1.636
Re Nb Ir H
1 1 1 2
direct
0.000 0.500 0.000
0.000 0.000 0.000
0.500 0.500 0.500
0.000 0.000 0.500
0.500 0.000 0.000
```

Total magnetic moment (μB per atom): 0.000
SG: No. 123
Energy relative to the lowest polymorph listed for this composition (meV per atom): 203

Record 8
BaCaTa2Cu | PBE | relaxed

Geometry as POSCAR:
```
BaCaTa2Cu
1.0
-2.936 2.557 -3.528
-3.769 -3.678 0.470
-2.227 2.775 3.865
Ca Ba Cu Ta
1 1 1 2
direct
0.500 0.500 0.500
0.000 0.000 0.000
0.000 0.500 0.000
0.000 0.000 0.500
0.500 0.000 0.000
```

Total magnetic moment (μB per atom): 0.000
SG: No. 123
Energy (eV for the cell shown): -20.8

Record 9
FeTeRu | PBE | relaxed

Geometry as POSCAR:
```
FeTeRu
1.0
-1.323 -3.357 2.252
4.154 0.875 -0.273
-0.207 1.771 2.519
Fe Ru Te
1 1 1
direct
0.000 0.000 0.929
0.667 0.333 0.392
0.333 0.667 0.679
```

Total magnetic moment (μB per atom): 0.748
SG: No. 156
Formation energy from raw total energies (eV/atom): 0.4481
Energy relative to the lowest polymorph listed for this composition (meV per atom): 286

Record 10
TlRe2Au | PBE | relaxed

Geometry as POSCAR:
```
TlRe2Au
1.0
4.945 -0.003 0.007
4.064 2.816 0.007
1.027 0.321 5.091
Au Re Tl
1 2 1
direct
0.250 0.250 0.250
0.000 0.000 0.039
0.500 0.500 0.461
0.750 0.750 0.750
```

Total magnetic moment (μB per atom): 0.000
SG: No. 12
Energy relative to the lowest polymorph listed for this composition (meV per atom): 429

Record 11
Al2ReW | PBE | relaxed

Geometry as POSCAR:
```
Al2ReW
1.0
4.920 -0.009 0.000
-1.977 4.505 0.000
0.000 0.000 2.737
Re Al W
1 2 1
direct
0.500 0.000 0.500
0.000 0.000 0.000
0.500 0.500 0.000
0.000 0.500 0.500
```

Total magnetic moment (μB per atom): 0.000
SG: No. 65
Energy relative to the lowest polymorph listed for this composition (meV per atom): 340

Record 12
TaZn3S | PBE | relaxed

Geometry as POSCAR:
```
TaZn3S
1.0
-3.991 1.776 -1.300
-1.994 -1.779 3.692
0.931 3.802 2.335
Zn S Ta
3 1 1
direct
0.000 0.500 0.000
0.000 0.000 0.500
0.500 0.000 0.000
0.000 0.000 0.000
0.500 0.500 0.500
```

Total magnetic moment (μB per atom): 0.303
SG: No. 221
Formation energy from raw total energies (eV/atom): 0.9822
Energy relative to the lowest polymorph listed for this composition (meV per atom): 0

Record 13
Ba2CaDy | PBE | relaxed

Geometry as POSCAR:
```
Ba2CaDy
1.0
3.863 0.000 0.000
1.932 3.346 0.000
1.932 1.115 14.153
Ca Ba Dy
1 2 1
direct
0.500 0.500 0.500
0.084 0.084 0.748
0.916 0.916 0.252
0.000 0.000 0.000
```

Total magnetic moment (μB per atom): 0.000
SG: No. 166
Energy relative to the lowest polymorph listed for this composition (meV per atom): 145

Record 14
Li5Os | PBE | relaxed

Geometry as POSCAR:
```
Li5Os
1.0
-1.595 -4.190 1.973
-3.917 -2.258 -1.883
0.538 -4.215 -2.436
Li Os
5 1
direct
0.250 0.250 0.250
0.627 0.627 0.627
0.627 0.627 0.118
0.118 0.627 0.627
0.627 0.118 0.627
0.000 0.000 0.000
```

Total magnetic moment (μB per atom): 0.027
SG: No. 216
Energy relative to the lowest polymorph listed for this composition (meV per atom): 319

Record 15
CdSiNO2 | PBE | relaxed

Geometry as POSCAR:
```
CdSiNO2
1.0
3.618 0.000 0.000
0.000 3.618 0.000
0.000 0.000 3.741
Si N O Cd
1 1 2 1
direct
0.000 0.000 0.000
0.000 0.000 0.500
0.000 0.500 0.000
0.500 0.000 0.000
0.500 0.500 0.500
```

Total magnetic moment (μB per atom): 0.184
SG: No. 123
Formation energy from raw total energies (eV/atom): -0.8533

Record 16
SnGeO2 | PBE | relaxed

Geometry as POSCAR:
```
SnGeO2
1.0
1.881 0.000 6.851
-0.941 1.629 6.851
-0.941 -1.629 6.851
Ge Sn O
1 1 2
direct
0.000 0.000 0.000
0.500 0.500 0.500
0.888 0.888 0.888
0.112 0.112 0.112
```

Total magnetic moment (μB per atom): 0.000
SG: No. 166
Formation energy from raw total energies (eV/atom): -0.9095
Energy relative to the lowest polymorph listed for this composition (meV per atom): 23

Record 17
Ca3W | PBE | relaxed

Geometry as POSCAR:
```
Ca3W
1.0
-5.265 3.701 5.283
4.690 -2.689 6.332
2.037 3.145 -0.173
Ca W
6 2
direct
0.157 0.157 0.750
0.843 0.843 0.250
0.170 0.588 0.750
0.830 0.412 0.250
0.588 0.170 0.750
0.412 0.830 0.250
0.429 0.429 0.250
0.571 0.571 0.750
```

Total magnetic moment (μB per atom): 0.000
SG: No. 63
Energy relative to the lowest polymorph listed for this composition (meV per atom): 0

Record 18
BaIrNO2 | PBE | relaxed

Geometry as POSCAR:
```
BaIrNO2
1.0
-1.461 -3.826 -1.209
3.650 -0.733 -2.091
1.476 -1.549 3.120
Ir Ba O N
1 1 2 1
direct
0.000 0.000 0.000
0.500 0.500 0.500
0.000 0.500 0.000
0.500 0.000 0.000
0.000 0.000 0.500
```

Total magnetic moment (μB per atom): 0.000
SG: No. 123
Formation energy from raw total energies (eV/atom): -0.9559

Record 19
Ti2TlBiPt | PBE | relaxed

Geometry as POSCAR:
```
Ti2TlBiPt
1.0
4.916 0.000 0.000
0.000 5.542 0.000
0.000 0.000 4.916
Tl Bi Pt Ti
1 1 1 2
direct
0.500 0.500 0.500
0.000 0.500 0.000
0.000 0.000 0.000
0.000 0.000 0.500
0.500 0.000 0.000
```

Total magnetic moment (μB per atom): 0.163
SG: No. 123
Energy (eV for the cell shown): -26.2

Record 20
TiAl | PBE | relaxed

Geometry as POSCAR:
```
TiAl
1.0
4.994 0.000 0.000
0.000 5.619 0.000
0.000 0.000 9.355
Ti Al
8 8
direct
0.823 0.640 0.016
0.323 0.860 0.984
0.177 0.140 0.484
0.677 0.360 0.516
0.022 0.377 0.757
0.522 0.123 0.243
0.978 0.877 0.743
0.478 0.623 0.257
0.330 0.370 0.006
0.830 0.130 0.994
0.670 0.870 0.494
0.170 0.630 0.506
0.490 0.113 0.744
0.990 0.387 0.256
0.510 0.613 0.756
0.010 0.887 0.244
```

Total magnetic moment (μB per atom): 0.000
SG: No. 19
Energy (eV for the cell shown): -98.1